Entry 1:
A plane-wave DFT calculation with PBE-GGA was carried out for crystalline CaTm3Al8 at its relaxed geometry.

Cell: 5.5489 5.5489 9.0405 Å, 90.00 90.00 120.00°
With the nearest neighbours (Å) after each atom.
Element x y z (fractional)
Ca 0.0000 0.0000 0.0000  12 Al 3.25-3.28, 4 Tm 3.33-3.42
Tm 0.0000 0.0000 0.3682  12 Al 3.22-3.26, 1 Ca 3.33, 3 Tm 3.42
Tm 0.6667 0.3333 0.5016  12 Al 3.21-3.26, 4 Tm 3.31-3.42
Tm 0.6667 0.3333 0.8677  12 Al 3.25-3.28, 1 Tm 3.31, 3 Ca 3.42
Al 0.1623 0.3247 0.6803  6 Al 2.70-2.85
Al 0.1623 0.8377 0.6803  6 Al 2.70-2.85
Al 0.3333 0.6667 0.4338  6 Al 2.77
Al 0.3333 0.6667 0.9340  6 Al 2.82
Al 0.5050 0.0099 0.1877  6 Al 2.69-2.86
Al 0.5050 0.4950 0.1877  6 Al 2.69-2.86
Al 0.6753 0.8377 0.6803  6 Al 2.70-2.85
Al 0.9901 0.4950 0.1877  6 Al 2.69-2.86

The volume is 241 Å³/f.u. Its formation enthalpy at 0 K is -0.440 eV per atom. The space-group type is No. 156. As for the total energy: -4.219 eV/atom. Its energy above the most stable polymorph in this dataset is 0.005 eV per atom.



Entry 2:
A plane-wave DFT calculation with PBE-GGA was carried out for crystalline CaTm2Al6 at its relaxed geometry.

Cell: 7.9251 7.9251 3.4589 Å, 90.00 90.00 120.00°
With the nearest neighbours (Å) after each atom.
Element x y z (fractional)
Ca 0.0000 0.0000 0.0000  12 Al 3.17, 2 Ca 3.46
Tm 0.3333 0.6667 0.0000  12 Al 3.15, 2 Tm 3.46
Tm 0.6667 0.3333 0.0000  12 Al 3.15, 2 Tm 3.46
Al 0.0000 0.3355 0.5000  3 Al 2.61-2.66
Al 0.0000 0.6645 0.5000  3 Al 2.61-2.66
Al 0.3355 0.0000 0.5000  3 Al 2.61-2.66
Al 0.3355 0.3355 0.5000  3 Al 2.61-2.66
Al 0.6645 0.0000 0.5000  3 Al 2.61-2.66
Al 0.6645 0.6645 0.5000  3 Al 2.61-2.66

The volume is 188 Å³/f.u. Its formation enthalpy at 0 K is -0.390 eV per atom. The space-group type is No. 191. As for the total energy: -4.102 eV/atom.



Entry 3:
A plane-wave DFT calculation with PBE-GGA was carried out for crystalline CaTmAl at its relaxed geometry.

Cell: 7.0814 7.0814 7.0814 Å, 150.90 150.90 41.63°
With the nearest neighbours (Å) after each atom.
Element x y z (fractional)
Ca 0.0000 0.0000 0.0000  4 Al 3.24, 4 Ca 3.56
Tm 0.2828 0.2828 0.0000  4 Al 3.04
Al 0.6536 0.6536 0.0000  4 Tm 3.04, 4 Ca 3.24

The volume is 84 Å³/f.u. Its formation enthalpy at 0 K is -0.158 eV per atom. The space-group type is No. 107. As for the total energy: -3.564 eV/atom. Its energy above the most stable polymorph in this dataset is 0.000 eV per atom.